--- one ---
A plane-wave DFT calculation with PBE was carried out for a geometry-optimized La3Pm2Pb4 structure.

Results
V	33.74	Å³/atom

CIF file:
```
data_La3Pm2Pb4
_chemical_formula_sum 'La6 Pm4 Pb8'
_symmetry_space_group_name_H-M 'C 1 2/m 1'
_symmetry_Int_Tables_number 12
_cell_length_a 13.826
_cell_length_b 5.066
_cell_length_c 10.497
_cell_angle_alpha 90.00
_cell_angle_beta 124.29
_cell_angle_gamma 90.00
loop_
_symmetry_equiv_pos_as_xyz
'x,y,z'
'-x,-y,-z'
'-x,y,-z'
'x,-y,z'
'x+1/2,y+1/2,z'
'-x+1/2,-y+1/2,-z'
'-x+1/2,y+1/2,-z'
'x+1/2,-y+1/2,z'
loop_
_atom_site_label
_atom_site_type_symbol
_atom_site_fract_x
_atom_site_fract_y
_atom_site_fract_z
La1 La 0.000 0.000 0.000
La2 La 0.146 0.500 0.701
Pm1 Pm 0.145 0.500 0.320
Pb1 Pb 0.067 0.000 0.415
Pb2 Pb 0.172 0.500 0.032
```

***

--- two ---
A plane-wave DFT calculation with PBE was carried out for a geometry-optimized La3Pm2Pb4 structure.

Results
V	33.69	Å³/atom

CIF file:
```
data_La3Pm2Pb4
_chemical_formula_sum 'La6 Pm4 Pb8'
_symmetry_space_group_name_H-M 'C 1 2/m 1'
_symmetry_Int_Tables_number 12
_cell_length_a 16.997
_cell_length_b 5.181
_cell_length_c 7.107
_cell_angle_alpha 90.00
_cell_angle_beta 104.33
_cell_angle_gamma 90.00
loop_
_symmetry_equiv_pos_as_xyz
'x,y,z'
'-x,-y,-z'
'-x,y,-z'
'x,-y,z'
'x+1/2,y+1/2,z'
'-x+1/2,-y+1/2,-z'
'-x+1/2,y+1/2,-z'
'x+1/2,-y+1/2,z'
loop_
_atom_site_label
_atom_site_type_symbol
_atom_site_fract_x
_atom_site_fract_y
_atom_site_fract_z
La1 La 0.000 0.000 0.000
La2 La 0.120 0.000 0.573
Pm1 Pm 0.164 0.500 0.078
Pb1 Pb 0.004 0.500 0.287
Pb2 Pb 0.246 0.000 0.280
```

***

Verdict on stability: two comes out on top.

***

--- one ---
A plane-wave DFT calculation with PBE was carried out for a geometry-optimized LaPm2Pb structure.

Results
V	31.15	Å³/atom

CIF file:
```
data_LaPm2Pb
_chemical_formula_sum 'La4 Pm8 Pb4'
_symmetry_space_group_name_H-M 'F m -3 m'
_symmetry_Int_Tables_number 225
_symmetry_space_group_name_Hall '-F 4 2 3'
_cell_length_a 7.929
_cell_length_b 7.929
_cell_length_c 7.929
_cell_angle_alpha 90.00
_cell_angle_beta 90.00
_cell_angle_gamma 90.00
loop_
_atom_site_label
_atom_site_type_symbol
_atom_site_fract_x
_atom_site_fract_y
_atom_site_fract_z
La1 La 0.000 0.000 0.000
Pm1 Pm 0.250 0.250 0.250
Pb1 Pb 0.000 0.000 0.500
```

***

--- two ---
A plane-wave DFT calculation with PBE was carried out for a geometry-optimized LaPm2Pb structure.

Results
V	33.59	Å³/atom

CIF file:
```
data_LaPm2Pb
_chemical_formula_sum 'La2 Pm4 Pb2'
_symmetry_space_group_name_H-M 'C 1 m 1'
_symmetry_Int_Tables_number 8
_cell_length_a 6.387
_cell_length_b 3.686
_cell_length_c 11.606
_cell_angle_alpha 90.00
_cell_angle_beta 100.50
_cell_angle_gamma 90.00
loop_
_symmetry_equiv_pos_as_xyz
'x,y,z'
'x,-y,z'
'x+1/2,y+1/2,z'
'x+1/2,-y+1/2,z'
loop_
_atom_site_label
_atom_site_type_symbol
_atom_site_fract_x
_atom_site_fract_y
_atom_site_fract_z
La1 La 0.000 0.000 0.000
Pm1 Pm 0.245 0.000 0.734
Pm2 Pm 0.421 0.000 0.265
Pb1 Pb 0.334 0.500 0.500
```

***

--- three ---
A plane-wave DFT calculation with PBE was carried out for a geometry-optimized LaPm2Pb structure.

Results
V	31.23	Å³/atom

CIF file:
```
data_LaPm2Pb
_chemical_formula_sum 'La1 Pm2 Pb1'
_symmetry_space_group_name_H-M 'P 4/m m m'
_symmetry_Int_Tables_number 123
_symmetry_space_group_name_Hall '-P 4 2'
_cell_length_a 5.042
_cell_length_b 5.042
_cell_length_c 4.914
_cell_angle_alpha 90.00
_cell_angle_beta 90.00
_cell_angle_gamma 90.00
loop_
_atom_site_label
_atom_site_type_symbol
_atom_site_fract_x
_atom_site_fract_y
_atom_site_fract_z
La1 La 0.000 0.000 0.000
Pm1 Pm 0.000 0.500 0.500
Pb1 Pb 0.500 0.500 0.000
```

***

--- four ---
A plane-wave DFT calculation with PBE was carried out for a geometry-optimized LaPm2Pb structure.

Results
V	33.52	Å³/atom

CIF file:
```
data_LaPm2Pb
_chemical_formula_sum 'La3 Pm6 Pb3'
_symmetry_space_group_name_H-M 'R -3 m'
_symmetry_Int_Tables_number 166
_symmetry_space_group_name_Hall '-R 3 2"'
_cell_length_a 3.5490
_cell_length_b 3.5490
_cell_length_c 36.8718
_cell_angle_alpha 90.00
_cell_angle_beta 90.00
_cell_angle_gamma 120.00
loop_
_atom_site_label
_atom_site_type_symbol
_atom_site_fract_x
_atom_site_fract_y
_atom_site_fract_z
La1 La 0.0000 0.0000 0.0000
Pm1 Pm 0.0000 0.0000 0.0933
Pb1 Pb 0.0000 0.0000 0.5000
```

***

Verdict on stability: three comes out on top.

***

--- one ---
A plane-wave DFT calculation with PBE was carried out for a geometry-optimized La3PmPb2 structure.

Results
V	32.60	Å³/atom

CIF file:
```
data_La3PmPb2
_chemical_formula_sum 'La6 Pm2 Pb4'
_symmetry_space_group_name_H-M 'C m m m'
_symmetry_Int_Tables_number 65
_symmetry_space_group_name_Hall '-C 2 2'
_cell_length_a 5.045
_cell_length_b 16.836
_cell_length_c 4.605
_cell_angle_alpha 90.00
_cell_angle_beta 90.00
_cell_angle_gamma 90.00
loop_
_atom_site_label
_atom_site_type_symbol
_atom_site_fract_x
_atom_site_fract_y
_atom_site_fract_z
La1 La 0.000 0.000 0.000
La2 La 0.000 0.318 0.000
Pm1 Pm 0.000 0.500 0.500
Pb1 Pb 0.000 0.147 0.500
```

***

--- two ---
A plane-wave DFT calculation with PBE was carried out for a geometry-optimized La3PmPb2 structure.

Results
V	34.42	Å³/atom

CIF file:
```
data_La3PmPb2
_chemical_formula_sum 'La3 Pm1 Pb2'
_symmetry_space_group_name_H-M 'P -4 m 2'
_symmetry_Int_Tables_number 115
_cell_length_a 4.779
_cell_length_b 4.779
_cell_length_c 9.043
_cell_angle_alpha 90.00
_cell_angle_beta 90.00
_cell_angle_gamma 90.00
loop_
_symmetry_equiv_pos_as_xyz
'x,y,z'
'y,-x,-z'
'-x,-y,z'
'-y,x,-z'
'-x,y,z'
'-y,-x,-z'
'x,-y,z'
'y,x,-z'
loop_
_atom_site_label
_atom_site_type_symbol
_atom_site_fract_x
_atom_site_fract_y
_atom_site_fract_z
La1 La 0.000 0.000 0.000
La2 La 0.000 0.500 0.651
Pm1 Pm 0.500 0.500 0.000
Pb1 Pb 0.000 0.500 0.279
```

***

Verdict on stability: two comes out on top.